(1)
# RbTa4C2

Crystalline RbTa4C2 at its relaxed geometry (PBE-GGA, the Alexandria database).

Values from the calculation:
* ΔE_f: 2.18 eV per atom
* raw total energy: -7.3675 eV/atom

Unit cell a=6.375 b=6.375 c=6.375 alpha=135.92 beta=135.92 gamma=64.11
Atoms (fractional coordinates):
Rb 0.000 0.000 0.000
Ta 0.000 0.500 0.500
Ta 0.258 0.258 0.000
Ta 0.500 0.000 0.500
Ta 0.742 0.742 0.000
C 0.437 0.437 0.000
C 0.563 0.563 0.000



(2)
# RbTaC2

Crystalline RbTaC2 at its relaxed geometry (PBE-GGA, the Alexandria database).

Values from the calculation:
* ΔE_f: 2.56 eV per atom
* raw total energy: -5.2561 eV/atom
* distance to the lowest polymorph of the same formula: 1.809 eV per atom

Unit cell a=4.314 b=4.314 c=4.314 alpha=60.00 beta=60.00 gamma=60.00
Atoms (fractional coordinates):
Rb 0.000 0.000 0.000
Ta 0.500 0.500 0.500
C 0.250 0.250 0.250
C 0.750 0.750 0.750



(3)
# Rb2TaTlC

Crystalline Rb2TaTlC at its relaxed geometry (PBE-GGA, the Alexandria database).

Values from the calculation:
* ΔE_f: 0.97 eV per atom
* raw total energy: -4.1064 eV/atom

Unit cell a=6.551 b=6.551 c=4.083 alpha=90.00 beta=90.00 gamma=90.00
Atoms (fractional coordinates):
Rb 0.000 0.500 0.000
Rb 0.500 0.000 0.000
Ta 0.000 0.000 0.500
Tl 0.500 0.500 0.500
C 0.000 0.000 0.000



(4)
# RbTb2C

Crystalline RbTb2C at its relaxed geometry (PBE-GGA, the Alexandria database).

Values from the calculation:
* ΔE_f: 0.04 eV per atom
* raw total energy: -4.8264 eV/atom

Unit cell a=11.072 b=11.072 c=11.072 alpha=19.05 beta=19.05 gamma=19.05
Atoms (fractional coordinates):
Rb 0.000 0.000 0.000
Tb 0.126 0.126 0.126
Tb 0.874 0.874 0.874
C 0.500 0.500 0.500



(5)
# RbTcC3

Crystalline RbTcC3 at its relaxed geometry (PBE-GGA, the Alexandria database).

Values from the calculation:
* ΔE_f: 1.65 eV per atom
* raw total energy: -6.1553 eV/atom
* distance to the lowest polymorph of the same formula: 0.000 eV per atom

Unit cell a=4.158 b=4.158 c=4.158 alpha=90.00 beta=90.00 gamma=90.00
Atoms (fractional coordinates):
Rb 0.000 0.000 0.000
Tc 0.500 0.500 0.500
C 0.000 0.500 0.500
C 0.500 0.000 0.500
C 0.500 0.500 0.000



(6)
# RbTcC2

Crystalline RbTcC2 at its relaxed geometry (PBE-GGA, the Alexandria database).

Values from the calculation:
* ΔE_f: 0.59 eV per atom
* raw total energy: -6.8582 eV/atom
* distance to the lowest polymorph of the same formula: 0.000 eV per atom

Unit cell a=6.202 b=6.202 c=6.202 alpha=120.13 beta=120.13 gamma=89.77
Atoms (fractional coordinates):
Rb 0.375 0.625 0.750
Rb 0.625 0.375 0.250
Tc 0.125 0.875 0.250
Tc 0.875 0.125 0.750
C 0.000 0.000 0.000
C 0.000 0.000 0.500
C 0.000 0.500 0.000
C 0.500 0.000 0.500



(7)
# Rb2TcC

Crystalline Rb2TcC at its relaxed geometry (PBE-GGA, the Alexandria database).

Values from the calculation:
* ΔE_f: 1.15 eV per atom
* raw total energy: -4.2352 eV/atom

Unit cell a=9.487 b=9.487 c=9.487 alpha=92.45 beta=92.45 gamma=156.14
Atoms (fractional coordinates):
Rb 0.375 0.131 0.256
Rb 0.869 0.125 0.244
Rb 0.875 0.119 0.744
Rb 0.881 0.625 0.756
Tc 0.000 0.000 0.000
Tc 0.750 0.250 0.500
C 0.250 0.750 0.500
C 0.500 0.500 0.000



(8)
# RbTc3C

Crystalline RbTc3C at its relaxed geometry (PBE-GGA, the Alexandria database).

Values from the calculation:
* ΔE_f: 4.55 eV per atom
* raw total energy: -3.7068 eV/atom
* distance to the lowest polymorph of the same formula: 3.203 eV per atom

Unit cell a=4.685 b=4.685 c=4.685 alpha=90.00 beta=90.00 gamma=90.00
Atoms (fractional coordinates):
Rb 0.000 0.000 0.000
Tc 0.000 0.000 0.500
Tc 0.000 0.500 0.000
Tc 0.500 0.000 0.000
C 0.500 0.500 0.500



(9)
# RbTc3C

Crystalline RbTc3C at its relaxed geometry (PBE-GGA, the Alexandria database).

Values from the calculation:
* ΔE_f: 1.35 eV per atom
* raw total energy: -6.9096 eV/atom
* distance to the lowest polymorph of the same formula: 0.000 eV per atom

Unit cell a=4.307 b=4.307 c=4.307 alpha=90.00 beta=90.00 gamma=90.00
Atoms (fractional coordinates):
Rb 0.000 0.000 0.000
Tc 0.000 0.500 0.500
Tc 0.500 0.000 0.500
Tc 0.500 0.500 0.000
C 0.500 0.500 0.500



(10)
# RbTcC2

Crystalline RbTcC2 at its relaxed geometry (PBE-GGA, the Alexandria database).

Values from the calculation:
* ΔE_f: 2.96 eV per atom
* raw total energy: -4.4845 eV/atom
* distance to the lowest polymorph of the same formula: 2.374 eV per atom

Unit cell a=4.281 b=4.281 c=4.281 alpha=60.00 beta=60.00 gamma=60.00
Atoms (fractional coordinates):
Rb 0.000 0.000 0.000
Tc 0.500 0.500 0.500
C 0.250 0.250 0.250
C 0.750 0.750 0.750



(11)
# Rb3TcC

Crystalline Rb3TcC at its relaxed geometry (PBE-GGA, the Alexandria database).

Values from the calculation:
* ΔE_f: 1.84 eV per atom
* raw total energy: -2.6570 eV/atom
* distance to the lowest polymorph of the same formula: 0.000 eV per atom

Unit cell a=6.073 b=6.073 c=6.073 alpha=90.00 beta=90.00 gamma=90.00
Atoms (fractional coordinates):
Rb 0.000 0.000 0.500
Rb 0.000 0.500 0.000
Rb 0.500 0.000 0.000
Tc 0.500 0.500 0.500
C 0.000 0.000 0.000



(12)
# RbTcC3

Crystalline RbTcC3 at its relaxed geometry (PBE-GGA, the Alexandria database).

Values from the calculation:
* ΔE_f: 4.72 eV per atom
* raw total energy: -3.0814 eV/atom
* distance to the lowest polymorph of the same formula: 3.074 eV per atom

Unit cell a=4.151 b=4.151 c=4.151 alpha=90.00 beta=90.00 gamma=90.00
Atoms (fractional coordinates):
Rb 0.000 0.000 0.000
Tc 0.500 0.500 0.500
C 0.000 0.000 0.500
C 0.000 0.500 0.000
C 0.500 0.000 0.000



(13)
# RbV2TcC

Crystalline RbV2TcC at its relaxed geometry (PBE-GGA, the Alexandria database).

Values from the calculation:
* ΔE_f: 1.46 eV per atom
* raw total energy: -6.2945 eV/atom

Unit cell a=4.963 b=4.963 c=4.131 alpha=90.00 beta=90.00 gamma=90.00
Atoms (fractional coordinates):
Rb 0.000 0.000 0.000
V 0.000 0.500 0.500
V 0.500 0.000 0.500
Tc 0.500 0.500 0.500
C 0.500 0.500 0.000



(14)
# RbZr2TcC

Crystalline RbZr2TcC at its relaxed geometry (PBE-GGA, the Alexandria database).

Values from the calculation:
* ΔE_f: 1.21 eV per atom
* raw total energy: -6.3158 eV/atom

Unit cell a=5.246 b=5.246 c=4.157 alpha=90.00 beta=90.00 gamma=90.00
Atoms (fractional coordinates):
Rb 0.000 0.000 0.000
Zr 0.000 0.500 0.500
Zr 0.500 0.000 0.500
Tc 0.500 0.500 0.500
C 0.500 0.500 0.000



(15)
# Rb3TeC

Crystalline Rb3TeC at its relaxed geometry (PBE-GGA, the Alexandria database).

Values from the calculation:
* formation energy (no corrections): 0.38 eV per atom
* raw total energy: -2.6729 eV/atom
* distance to the lowest polymorph of the same formula: 0.000 eV per atom

Unit cell a=5.926 b=5.926 c=5.926 alpha=90.00 beta=90.00 gamma=90.00
Atoms (fractional coordinates):
Rb 0.000 0.000 0.500
Rb 0.000 0.500 0.000
Rb 0.500 0.000 0.000
Te 0.500 0.500 0.500
C 0.000 0.000 0.000



(16)
# RbTeC2

Crystalline RbTeC2 at its relaxed geometry (PBE-GGA, the Alexandria database).

Values from the calculation:
* formation energy (no corrections): 1.70 eV per atom
* raw total energy: -3.9363 eV/atom

Unit cell a=6.192 b=6.192 c=6.192 alpha=115.93 beta=115.93 gamma=97.20
Atoms (fractional coordinates):
Rb 0.000 0.000 0.000
Rb 0.750 0.250 0.500
Te 0.250 0.750 0.500
Te 0.500 0.500 0.000
C 0.235 0.625 0.110
C 0.375 0.485 0.610
C 0.515 0.125 0.890
C 0.875 0.765 0.390



(17)
# RbTe2C

Crystalline RbTe2C at its relaxed geometry (PBE-GGA, the Alexandria database).

Values from the calculation:
* formation energy (no corrections): 0.53 eV per atom
* raw total energy: -3.5882 eV/atom

Unit cell a=7.175 b=7.175 c=7.175 alpha=52.21 beta=52.21 gamma=52.21
Atoms (fractional coordinates):
Rb 0.000 0.000 0.000
Te 0.394 0.394 0.394
Te 0.606 0.606 0.606
C 0.500 0.500 0.500



(18)
# RbTeC3

Crystalline RbTeC3 at its relaxed geometry (PBE-GGA, the Alexandria database).

Values from the calculation:
* formation energy (no corrections): 4.12 eV per atom
* raw total energy: -2.2387 eV/atom

Unit cell a=5.156 b=5.156 c=5.156 alpha=90.00 beta=90.00 gamma=90.00
Atoms (fractional coordinates):
Rb 0.000 0.000 0.000
Te 0.500 0.500 0.500
C 0.000 0.000 0.500
C 0.000 0.500 0.000
C 0.500 0.000 0.000



(19)
# RbTe2C

Crystalline RbTe2C at its relaxed geometry (PBE-GGA, the Alexandria database).

Values from the calculation:
* formation energy (no corrections): 1.05 eV per atom
* raw total energy: -3.0680 eV/atom

Unit cell a=10.085 b=10.085 c=10.085 alpha=20.80 beta=20.80 gamma=20.80
Atoms (fractional coordinates):
Rb 0.000 0.000 0.000
Te 0.117 0.117 0.117
Te 0.883 0.883 0.883
C 0.500 0.500 0.500



(20)
# RbTe2C

Crystalline RbTe2C at its relaxed geometry (PBE-GGA, the Alexandria database).

Values from the calculation:
* formation energy (no corrections): 0.48 eV per atom
* raw total energy: -3.6401 eV/atom

Unit cell a=6.911 b=6.911 c=6.911 alpha=113.96 beta=113.96 gamma=100.83
Atoms (fractional coordinates):
Rb 0.000 0.000 0.000
Rb 0.750 0.250 0.500
Te 0.270 0.625 0.145
Te 0.375 0.520 0.645
Te 0.480 0.125 0.855
Te 0.875 0.730 0.355
C 0.250 0.750 0.500
C 0.500 0.500 0.000